# 1
Compound: Ni2AsAu
Source: the Alexandria database
Functional: GGA-PBE
Structure: optimized geometry

abc: 3.160 3.160 5.806
angles: 90.00 90.00 90.00
Fractional positions:
Au: 0.500 0.500 0.780
Ni: 0.000 0.000 0.031
Ni: 0.500 0.500 0.255
As: 0.000 0.000 0.435

Results
energy: -19.34 eV per cell
crystal system: tetragonal
space-group type: P4mm (99)
volume: 14.50 Å³/atom
magnetic moment: 0.00 μB/cell
density of states at the Fermi level: 1.035 states/eV per atom
relative energy among the computed polymorphs: 0.080 eV per atom
DFT formation energy: 0.0372 eV per atom

***

# 2
Compound: Ba6Sb3SeBr2
Source: the Alexandria database
Functional: GGA-PBE
Structure: optimized geometry

abc: 8.513 8.513 8.591
angles: 99.48 99.48 119.82
Fractional positions:
Sb: 0.828 0.172 0.500
Sb: 0.500 0.500 0.500
Sb: 0.172 0.828 0.500
Br: 0.665 0.335 0.000
Br: 0.335 0.665 0.000
Ba: 0.234 0.234 0.744
Ba: 0.766 0.766 0.256
Ba: 0.404 0.084 0.252
Ba: 0.084 0.404 0.252
Ba: 0.596 0.916 0.748
Ba: 0.916 0.596 0.748
Se: 0.000 0.000 0.000

Results
energy: -48.26 eV per cell
crystal system: monoclinic
space-group type: C2/m (12)
volume: 42.52 Å³/atom
magnetic moment: 0.24 μB/cell
density of states at the Fermi level: 1.025 states/eV per atom
formation energy without anion corrections: -1.461 eV per atom

***

# 3
Compound: NiAsIrSe2
Source: the Alexandria database
Functional: GGA-PBE
Structure: optimized geometry

abc: 5.070 5.070 4.566
angles: 90.00 90.00 90.00
Each line ends with the local moment (μB).
Fractional positions:
Ni: 0.500 0.500 0.500  0.96
Se: 0.500 0.000 0.000  0.15
Se: 0.000 0.500 0.000  0.15
As: 0.000 0.000 0.500  0.05
Ir: 0.000 0.000 0.000  0.05

Results
energy: -21.64 eV per cell
crystal system: tetragonal
space-group type: P4/mmm (123)
volume: 23.47 Å³/atom
magnetic moment: 1.54 μB/cell
density of states at the Fermi level: 1.617 states/eV per atom
formation energy without anion corrections: 0.924 eV per atom
relative energy among the computed polymorphs: 0.094 eV per atom

***

# 4
Compound: TbDyZnFe
Source: the Alexandria database
Functional: GGA-PBE
Structure: optimized geometry

abc: 4.912 4.912 4.912
angles: 60.00 60.00 60.00
Each line ends with the local moment (μB).
Fractional positions:
Zn: 0.000 0.000 0.000  -0.02
Tb: 0.750 0.750 0.750  -0.23
Dy: 0.250 0.250 0.250  -0.25
Fe: 0.500 0.500 0.500  1.80

Results
energy: -19.25 eV per cell
crystal system: cubic
space-group type: F-43m (216)
volume: 20.95 Å³/atom
magnetic moment: 1.23 μB/cell
density of states at the Fermi level: 1.232 states/eV per atom
DFT formation energy: -0.0706 eV per atom

***

# 5
Compound: CaSm8Se12
Source: the Alexandria database
Functional: GGA-PBE
Structure: optimized geometry

abc: 8.912 8.912 14.607
angles: 72.26 72.26 90.14
Fractional positions:
Ca: 0.046 0.917 0.166
Ca: 0.917 0.046 0.666
Sm: 0.043 0.792 0.917
Sm: 0.754 0.112 0.999
Sm: 0.782 0.416 0.167
Sm: 0.585 0.720 0.334
Sm: 0.416 0.782 0.667
Sm: 0.712 0.457 0.584
Sm: 0.444 0.084 0.833
Sm: 0.128 0.370 0.748
Sm: 0.112 0.754 0.499
Sm: 0.370 0.128 0.248
Sm: 0.386 0.249 0.500
Sm: 0.457 0.712 0.084
Sm: 0.249 0.386 0.000
Sm: 0.792 0.043 0.417
Sm: 0.720 0.585 0.834
Sm: 0.084 0.444 0.333
Se: 0.054 0.408 0.546
Se: 0.546 0.406 0.049
Se: 0.114 0.619 0.118
Se: 0.737 0.385 0.382
Se: 0.431 0.430 0.785
Se: 0.882 0.736 0.383
Se: 0.951 0.450 0.953
Se: 0.784 0.289 0.786
Se: 0.708 0.073 0.215
Se: 0.761 0.760 0.620
Se: 0.619 0.114 0.618
Se: 0.099 0.101 0.949
Se: 0.736 0.882 0.883
Se: 0.064 0.215 0.214
Se: 0.385 0.737 0.882
Se: 0.215 0.064 0.714
Se: 0.289 0.784 0.286
Se: 0.406 0.546 0.549
Se: 0.430 0.431 0.285
Se: 0.408 0.054 0.046
Se: 0.450 0.951 0.453
Se: 0.760 0.761 0.120
Se: 0.073 0.708 0.715
Se: 0.101 0.099 0.449

Results
energy: -241.27 eV per cell
crystal system: monoclinic
space-group type: Cc (9)
volume: 24.92 Å³/atom
magnetic moment: 0.00 μB/cell
density of states at the Fermi level: 0.458 states/eV per atom
formation energy without anion corrections: -1.860 eV per atom

***

# 6
Compound: La2Tb7
Source: the Alexandria database
Functional: GGA-PBE
Structure: optimized geometry

abc: 6.249 6.249 8.812
angles: 90.00 90.00 120.00
Fractional positions:
La: 0.667 0.333 0.000
La: 0.333 0.667 0.000
Tb: 0.000 0.000 0.000
Tb: 0.000 0.332 0.662
Tb: 0.000 0.668 0.338
Tb: 0.332 0.332 0.338
Tb: 0.332 0.000 0.662
Tb: 0.668 0.000 0.338
Tb: 0.668 0.668 0.662

Results
energy: -42.08 eV per cell
crystal system: trigonal
space-group type: P-31m (162)
volume: 33.11 Å³/atom
magnetic moment: 0.00 μB/cell
density of states at the Fermi level: 1.440 states/eV per atom
DFT formation energy: 0.0209 eV per atom

***

# 7
Compound: Sr2NdAg
Source: the Alexandria database
Functional: GGA-PBE
Structure: optimized geometry

abc: 3.901 3.901 12.266
angles: 80.85 80.85 60.00
Each line ends with the local moment (μB).
Fractional positions:
Ag: 0.500 0.500 0.500  0.00
Nd: 0.000 0.000 0.000  0.10
Sr: 0.897 0.897 0.308  0.01
Sr: 0.103 0.103 0.692  0.01

Results
energy: -10.15 eV per cell
crystal system: trigonal
space-group type: R-3m (166)
volume: 39.73 Å³/atom
magnetic moment: 0.26 μB/cell
density of states at the Fermi level: 1.250 states/eV per atom
relative energy among the computed polymorphs: 0.229 eV per atom
DFT formation energy: 0.2071 eV per atom

***

# 8
Compound: FeAu4
Source: the Alexandria database
Functional: GGA-PBE
Structure: optimized geometry

abc: 7.505 7.505 7.505
angles: 151.02 151.02 41.44
Each line ends with the local moment (μB).
Fractional positions:
Au: 0.594 0.594 0.000  0.03
Au: 0.250 0.750 0.500  0.00
Au: 0.750 0.250 0.500  0.00
Au: 0.406 0.406 0.000  0.03
Fe: 0.000 0.000 0.000  3.27

Results
energy: -19.50 eV per cell
crystal system: tetragonal
space-group type: I4/mmm (139)
volume: 19.79 Å³/atom
magnetic moment: 3.38 μB/cell
density of states at the Fermi level: 0.909 states/eV per atom
DFT formation energy: 0.4148 eV per atom